# CoReN2O | Alexandria | GGA+U | optimized geometry
data_CoReN2O
_chemical_formula_sum 'Co1 Re1 N2 O1'
_cell_length_a 3.905
_cell_length_b 3.905
_cell_length_c 3.836
_cell_angle_alpha 90.00
_cell_angle_beta 90.00
_cell_angle_gamma 90.00
_space_group_name_H-M_alt 'P 4/m m m'
_space_group_IT_number 123
_space_group_name_Hall '-P 4 2'
loop_
_atom_site_label
_atom_site_fract_x
_atom_site_fract_y
_atom_site_fract_z
Co1 0.000 0.000 0.000
Re1 0.500 0.500 0.500
N1 0.000 0.500 0.500
O1 0.500 0.500 0.000
# Total magnetic moment, μB/f.u.: 2.82
# N(E_F), states/eV/f.u.: 2.26
# Total energy, eV/atom: -7.54